# 1
A geometry-optimized MgRe2Ir structure. Source: Alexandria, functional PBE-GGA.

```
MgRe2Ir
1.0
-1.2925 -3.6638 -3.1673
0.2591 -4.8628 -1.1879
-3.8504 -1.5890 2.0556
Re Ir Mg
2 1 1
direct
0.4849 0.4849 0.5101 Re
0.0151 0.0151 0.9899 Re
0.7500 0.7500 0.7500 Ir
0.2500 0.2500 0.2500 Mg
```

Results
Final energy, eV/cell: -35.239
DOS at the Fermi energy, states/eV/atom: 0.659
Crystal system: monoclinic
Size of the total moment, Bohr magnetons per cell: 0.000
Symmetry: C2/m

# 2
A geometry-optimized MgReIr2 structure. Source: Alexandria, functional PBE-GGA.

```
MgReIr2
1.0
-2.6275 0.4802 6.7335
4.4941 -5.2672 2.1293
2.7993 -0.5598 5.0288
Mg Re Ir
2 2 4
direct
0.2500 0.7500 0.5000 Mg
0.5000 0.5000 0.0000 Mg
0.7500 0.2500 0.5000 Re
0.0000 0.0000 0.0000 Re
0.8750 0.9166 0.7500 Ir
0.0834 0.6250 0.2500 Ir
0.6666 0.1250 0.2500 Ir
0.3750 0.3334 0.7500 Ir
```

Results
Final energy, eV/cell: -59.796
DOS at the Fermi energy, states/eV/atom: 0.967
Crystal system: tetragonal
Size of the total moment, Bohr magnetons per cell: 0.000
Symmetry: I-42d

# 3
A geometry-optimized MgReIr2 structure. Source: Alexandria, functional PBE-GGA.

```
MgReIr2
1.0
3.7994 0.0000 0.0000
0.0000 2.7940 0.0060
0.0000 2.7849 5.6587
Ir Re Mg
2 1 1
direct
0.0000 0.4909 0.5084 Ir
0.0000 0.0091 0.9916 Ir
0.5000 0.7500 0.7500 Re
0.5000 0.2500 0.2500 Mg
```

Results
Final energy, eV/cell: -32.366
DOS at the Fermi energy, states/eV/atom: 0.776
Crystal system: orthorhombic
Size of the total moment, Bohr magnetons per cell: 0.000
Symmetry: Pmmm

# 4
A geometry-optimized MgRe2Ir structure. Source: Alexandria, functional PBE-GGA.

```
MgRe2Ir
1.0
5.2070 -0.0040 -0.0088
2.5259 4.5534 0.0088
-3.4701 -2.9484 2.5256
Ir Re Mg
1 2 1
direct
0.7500 0.2500 0.5000 Ir
0.0011 0.0011 0.0000 Re
0.4989 0.4989 0.0000 Re
0.2500 0.7500 0.5000 Mg
```

Results
Final energy, eV/cell: -35.005
DOS at the Fermi energy, states/eV/atom: 0.731
Crystal system: orthorhombic
Size of the total moment, Bohr magnetons per cell: 0.000
Symmetry: Immm

# 5
A geometry-optimized MgReIr2 structure. Source: Alexandria, functional PBE-GGA.

```
MgReIr2
1.0
-1.6117 -0.9900 1.9975
1.3970 -2.3693 -0.0471
5.1100 2.9024 5.5615
Ir Mg Re
2 1 1
direct
0.0000 0.0000 0.9989 Ir
0.5000 0.5000 0.2418 Ir
0.0000 0.0000 0.4917 Mg
0.5000 0.5000 0.7677 Re
```

Results
Final energy, eV/cell: -31.636
DOS at the Fermi energy, states/eV/atom: 1.204
Crystal system: tetragonal
Size of the total moment, Bohr magnetons per cell: 0.000
Symmetry: P4mm

# 6
A geometry-optimized MgRe2Ir structure. Source: Alexandria, functional PBE-GGA.

```
MgRe2Ir
1.0
4.3959 -0.0092 0.0000
0.0106 4.3959 0.0000
-2.2033 -2.1934 3.1079
Ir Mg Re
1 1 2
direct
0.5000 0.5000 0.0000 Ir
0.7500 0.2500 0.5000 Mg
0.0000 0.0000 0.0000 Re
0.2500 0.7500 0.5000 Re
```

Results
Final energy, eV/cell: -34.900
DOS at the Fermi energy, states/eV/atom: 0.852
Crystal system: cubic
Size of the total moment, Bohr magnetons per cell: 0.000
Symmetry: F-43m

# 7
A geometry-optimized MgReIr4 structure. Source: Alexandria, functional PBE-GGA.

```
MgReIr4
1.0
0.0000 3.6384 3.6384
3.6384 0.0000 3.6384
3.6384 3.6384 0.0000
Ir Re Mg
4 1 1
direct
0.8737 0.3754 0.3754 Ir
0.3754 0.8737 0.3754 Ir
0.3754 0.3754 0.3754 Ir
0.3754 0.3754 0.8737 Ir
0.0000 0.0000 0.0000 Re
0.7500 0.7500 0.7500 Mg
```

Results
Final energy, eV/cell: -47.589
DOS at the Fermi energy, states/eV/atom: 1.121
Crystal system: cubic
Size of the total moment, Bohr magnetons per cell: 0.000
Symmetry: F-43m

# 8
A geometry-optimized MgReIr2 structure. Source: Alexandria, functional PBE-GGA.

```
MgReIr2
1.0
2.8245 0.0000 0.0000
0.0000 4.7113 0.0000
0.0000 0.0000 4.5367
Mg Ir Re
1 2 1
direct
0.5000 0.0000 0.5000 Mg
0.0000 0.0000 0.0000 Ir
0.5000 0.5000 0.0000 Ir
0.0000 0.5000 0.5000 Re
```

Results
Final energy, eV/cell: -31.025
DOS at the Fermi energy, states/eV/atom: 0.797
Crystal system: orthorhombic
Size of the total moment, Bohr magnetons per cell: 0.000
Symmetry: Pmmm

# 9
A geometry-optimized MgRe2Ir structure. Source: Alexandria, functional PBE-GGA.

```
MgRe2Ir
1.0
-3.1155 5.9416 -3.5050
-5.8470 -4.3153 -2.1179
-5.6901 1.4194 -0.7093
Mg Re Ir
2 4 2
direct
0.2500 0.7500 0.5000 Mg
0.5000 0.5000 0.0000 Mg
0.0724 0.6250 0.2500 Re
0.3750 0.3224 0.7500 Re
0.8750 0.9276 0.7500 Re
0.6776 0.1250 0.2500 Re
0.0000 0.0000 0.0000 Ir
0.7500 0.2500 0.5000 Ir
```

Results
Final energy, eV/cell: -64.932
DOS at the Fermi energy, states/eV/atom: 0.767
Crystal system: tetragonal
Size of the total moment, Bohr magnetons per cell: 0.000
Symmetry: I-42d

# 10
A geometry-optimized MgRe2Ir structure. Source: Alexandria, functional PBE-GGA.

```
MgRe2Ir
1.0
-0.9580 -2.1804 -1.3101
2.5397 -0.9005 -0.3567
-0.4573 -4.1733 7.2797
Ir Re Mg
1 2 1
direct
0.5000 0.5000 0.2500 Ir
0.0000 0.0000 0.0155 Re
0.0000 0.0000 0.4845 Re
0.5000 0.5000 0.7500 Mg
```

Results
Final energy, eV/cell: -34.593
DOS at the Fermi energy, states/eV/atom: 1.168
Crystal system: tetragonal
Size of the total moment, Bohr magnetons per cell: 0.001
Symmetry: P4/mmm

# 11
A geometry-optimized MgReIr2 structure. Source: Alexandria, functional PBE-GGA.

```
MgReIr2
1.0
-6.0158 -2.7934 6.1045
-7.1944 -3.8883 3.7920
-5.1667 -5.3016 5.1435
Ir Re Mg
2 1 1
direct
0.4971 0.4971 0.4971 Ir
0.0029 0.0029 0.0029 Ir
0.7500 0.7500 0.7500 Re
0.2500 0.2500 0.2500 Mg
```

Results
Final energy, eV/cell: -32.145
DOS at the Fermi energy, states/eV/atom: 1.215
Crystal system: trigonal
Size of the total moment, Bohr magnetons per cell: 0.000
Symmetry: R-3m

# 12
A geometry-optimized MgReIr2 structure. Source: Alexandria, functional PBE-GGA.

```
MgReIr2
1.0
5.7990 0.0121 -0.0046
3.4275 4.6777 0.0046
-4.0936 -3.3673 2.3522
Ir Re Mg
2 1 1
direct
0.9920 0.9920 0.0000 Ir
0.2184 0.7184 0.5000 Ir
0.7836 0.2836 0.5000 Re
0.5059 0.5059 0.0000 Mg
```

Results
Final energy, eV/cell: -31.925
DOS at the Fermi energy, states/eV/atom: 0.417
Crystal system: orthorhombic
Size of the total moment, Bohr magnetons per cell: 0.000
Symmetry: Imm2

# 13
A geometry-optimized MgRe2Ir structure. Source: Alexandria, functional PBE-GGA.

```
MgRe2Ir
1.0
5.7669 0.1050 0.3574
-2.3440 4.4250 -0.1827
1.0790 0.7099 2.4154
Mg Re Ir
1 2 1
direct
0.5000 0.5000 0.0000 Mg
0.0000 0.0000 0.0000 Re
0.5000 0.0000 0.5000 Re
0.0000 0.5000 0.5000 Ir
```

Results
Final energy, eV/cell: -34.622
DOS at the Fermi energy, states/eV/atom: 0.759
Crystal system: monoclinic
Size of the total moment, Bohr magnetons per cell: 0.000
Symmetry: C2/m

# 14
A geometry-optimized MgRe2Ir structure. Source: Alexandria, functional PBE-GGA.

```
MgRe2Ir
1.0
-6.0038 7.2011 0.4160
-7.4700 5.5385 -1.2646
-7.6464 5.2320 1.4947
Re Mg Ir
2 1 1
direct
0.9958 0.9958 0.9958 Re
0.5042 0.5042 0.5042 Re
0.7500 0.7500 0.7500 Mg
0.2500 0.2500 0.2500 Ir
```

Results
Final energy, eV/cell: -34.714
DOS at the Fermi energy, states/eV/atom: 0.591
Crystal system: trigonal
Size of the total moment, Bohr magnetons per cell: 0.000
Symmetry: R-3m

# 15
A geometry-optimized Mg4ReIr structure. Source: Alexandria, functional PBE-GGA.

```
Mg4ReIr
1.0
0.0000 3.6926 3.6926
3.6926 0.0000 3.6926
3.6926 3.6926 0.0000
Mg Ir Re
4 1 1
direct
0.3754 0.3754 0.3754 Mg
0.3754 0.8737 0.3754 Mg
0.3754 0.3754 0.8737 Mg
0.8737 0.3754 0.3754 Mg
0.0000 0.0000 0.0000 Ir
0.7500 0.7500 0.7500 Re
```

Results
Final energy, eV/cell: -23.876
DOS at the Fermi energy, states/eV/atom: 0.725
Crystal system: cubic
Size of the total moment, Bohr magnetons per cell: 1.583
Symmetry: F-43m

# 16
A geometry-optimized MgReIr2 structure. Source: Alexandria, functional PBE-GGA.

```
MgReIr2
1.0
4.8946 -0.0021 0.0000
1.9100 4.5066 0.0000
-3.4023 -2.2523 2.7035
Ir Re Mg
2 1 1
direct
0.0000 0.0000 0.0000 Ir
0.2500 0.7500 0.5000 Ir
0.7500 0.2500 0.5000 Re
0.5000 0.5000 0.0000 Mg
```

Results
Final energy, eV/cell: -31.782
DOS at the Fermi energy, states/eV/atom: 0.798
Crystal system: tetragonal
Size of the total moment, Bohr magnetons per cell: 0.000
Symmetry: I-4m2

# 17
A geometry-optimized MgReIr2 structure. Source: Alexandria, functional PBE-GGA.

```
MgReIr2
1.0
4.6220 0.0000 0.0000
0.0000 4.6220 0.0000
0.0000 0.0000 2.8305
Mg Ir Re
1 2 1
direct
0.5000 0.0000 0.5000 Mg
0.5000 0.5000 0.0000 Ir
0.0000 0.0000 0.0000 Ir
0.0000 0.5000 0.5000 Re
```

Results
Final energy, eV/cell: -31.858
DOS at the Fermi energy, states/eV/atom: 1.423
Crystal system: tetragonal
Size of the total moment, Bohr magnetons per cell: 0.002
Symmetry: P4/mmm

# 18
A geometry-optimized MgReIr2 structure. Source: Alexandria, functional PBE-GGA.

```
MgReIr2
1.0
-3.6071 -0.5551 3.0556
-3.5598 -2.7945 1.4747
2.4035 -2.4017 3.4737
Re Mg Ir
1 1 2
direct
0.2500 0.2500 0.2500 Re
0.7500 0.7500 0.7500 Mg
0.5047 0.5047 0.4920 Ir
0.9953 0.9953 0.0080 Ir
```

Results
Final energy, eV/cell: -31.812
DOS at the Fermi energy, states/eV/atom: 0.856
Crystal system: monoclinic
Size of the total moment, Bohr magnetons per cell: 0.000
Symmetry: C2/m

# 19
A geometry-optimized Mg2ScReIr structure. Source: Alexandria, functional PBE-GGA.

```
Mg2ScReIr
1.0
-4.0598 2.5612 -0.1790
-1.8515 -2.6847 3.5772
1.7934 3.0686 3.2313
Mg Ir Re Sc
2 1 1 1
direct
0.0000 0.0000 0.5000 Mg
0.5000 0.0000 0.0000 Mg
0.0000 0.0000 0.0000 Ir
0.0000 0.5000 0.0000 Re
0.5000 0.5000 0.5000 Sc
```

Results
Final energy, eV/cell: -28.139
DOS at the Fermi energy, states/eV/atom: 0.760
Crystal system: tetragonal
Size of the total moment, Bohr magnetons per cell: 0.155
Symmetry: P4/mmm

# 20
A geometry-optimized MgReIrW structure. Source: Alexandria, functional PBE-GGA.

```
MgReIrW
1.0
-3.7616 0.2195 -2.3166
-1.7537 -3.6767 -1.7235
-3.7346 -1.6684 1.6834
Re Mg W Ir
1 1 1 1
direct
0.2500 0.2500 0.2500 Re
0.5000 0.5000 0.5000 Mg
0.0000 0.0000 0.0000 W
0.7500 0.7500 0.7500 Ir
```

Results
Final energy, eV/cell: -36.124
DOS at the Fermi energy, states/eV/atom: 0.208
Crystal system: cubic
Size of the total moment, Bohr magnetons per cell: 0.000
Symmetry: F-43m

# 21
A geometry-optimized YMg2ReIr structure. Source: Alexandria, functional PBE-GGA.

```
YMg2ReIr
1.0
-0.9236 2.7949 4.2114
-1.7850 -3.7134 2.0730
4.6468 -1.2147 1.8252
Mg Y Ir Re
2 1 1 1
direct
0.5000 0.0000 0.0000 Mg
0.0000 0.0000 0.5000 Mg
0.0000 0.0000 0.0000 Y
0.5000 0.5000 0.5000 Ir
0.0000 0.5000 0.0000 Re
```

Results
Final energy, eV/cell: -19.607
DOS at the Fermi energy, states/eV/atom: 0.931
Crystal system: tetragonal
Size of the total moment, Bohr magnetons per cell: 0.000
Symmetry: P4/mmm

# 22
A geometry-optimized MgZr2ReIr structure. Source: Alexandria, functional PBE-GGA.

```
MgZr2ReIr
1.0
4.8700 0.0000 0.0000
0.0000 4.4064 0.0000
0.0000 0.0000 4.8700
Zr Re Mg Ir
2 1 1 1
direct
0.0000 0.0000 0.5000 Zr
0.5000 0.0000 0.0000 Zr
0.0000 0.5000 0.0000 Re
0.0000 0.0000 0.0000 Mg
0.5000 0.5000 0.5000 Ir
```

Results
Final energy, eV/cell: -32.020
DOS at the Fermi energy, states/eV/atom: 1.084
Crystal system: tetragonal
Size of the total moment, Bohr magnetons per cell: 0.000
Symmetry: P4/mmm

# 23
A geometry-optimized Mg2IrRh structure. Source: Alexandria, functional PBE-GGA.

```
Mg2IrRh
1.0
-4.1886 2.9903 -0.7322
-5.0537 0.2820 -1.1846
-2.6316 0.1912 3.8872
Ir Mg Rh
1 2 1
direct
0.7660 0.7660 0.8127 Ir
0.2346 0.2346 0.3236 Mg
0.0154 0.0154 0.9276 Mg
0.4839 0.4839 0.4361 Rh
```

Results
Final energy, eV/cell: -20.954
DOS at the Fermi energy, states/eV/atom: 0.432
Crystal system: monoclinic
Size of the total moment, Bohr magnetons per cell: 0.000
Symmetry: Cm

# 24
A geometry-optimized Mg2IrRh2 structure. Source: Alexandria, functional PBE-GGA.

```
Mg2IrRh2
1.0
6.4787 0.0000 0.0000
0.0000 6.4787 0.0000
0.0000 0.0000 4.0582
Rh Mg Ir
4 4 2
direct
0.1349 0.3651 0.0000 Rh
0.8651 0.6349 0.0000 Rh
0.3651 0.8651 0.0000 Rh
0.6349 0.1349 0.0000 Rh
0.8270 0.3270 0.5000 Mg
0.1730 0.6730 0.5000 Mg
0.3270 0.1730 0.5000 Mg
0.6730 0.8270 0.5000 Mg
0.5000 0.5000 0.0000 Ir
0.0000 0.0000 0.0000 Ir
```

Results
Final energy, eV/cell: -54.857
DOS at the Fermi energy, states/eV/atom: 1.144
Crystal system: tetragonal
Size of the total moment, Bohr magnetons per cell: 0.000
Symmetry: P4/mbm

# 25
A geometry-optimized Mg2IrRh structure. Source: Alexandria, functional PBE-GGA.

```
Mg2IrRh
1.0
-1.6424 -0.7186 -2.1837
2.4541 -1.3990 0.0504
-3.5618 -6.0795 4.6793
Mg Rh Ir
2 1 1
direct
0.0000 0.0000 0.0029 Mg
0.0000 0.0000 0.4971 Mg
0.5000 0.5000 0.2500 Rh
0.5000 0.5000 0.7500 Ir
```

Results
Final energy, eV/cell: -20.343
DOS at the Fermi energy, states/eV/atom: 1.036
Crystal system: orthorhombic
Size of the total moment, Bohr magnetons per cell: 0.000
Symmetry: Cmmm

# 26
A geometry-optimized MgIr2Rh3 structure. Source: Alexandria, functional PBE-GGA.

```
MgIr2Rh3
1.0
2.7614 0.0000 0.0000
0.0000 4.5713 1.2085
0.0000 2.4160 14.4924
Ir Mg Rh
4 2 6
direct
0.5000 0.9374 0.1666 Ir
0.0000 0.5627 0.3334 Ir
0.0000 0.4373 0.6666 Ir
0.5000 0.0626 0.8334 Ir
0.0000 0.0000 0.5000 Mg
0.5000 0.5000 0.0000 Mg
0.5000 0.9413 0.6693 Rh
0.0000 0.5585 0.8307 Rh
0.5000 0.0587 0.3307 Rh
0.0000 0.0000 0.0000 Rh
0.0000 0.4415 0.1693 Rh
0.5000 0.5000 0.5000 Rh
```

Results
Final energy, eV/cell: -84.445
DOS at the Fermi energy, states/eV/atom: 1.022
Crystal system: monoclinic
Size of the total moment, Bohr magnetons per cell: 0.000
Symmetry: C2/m

# 27
A geometry-optimized Mg7Ir2Rh2 structure. Source: Alexandria, functional PBE-GGA.

```
Mg7Ir2Rh2
1.0
5.4530 -0.0022 -1.1631
0.0037 7.3418 0.0028
-1.5006 -0.0014 5.3700
Mg Rh Ir
7 2 2
direct
0.5000 0.2091 0.5000 Mg
0.0000 0.0000 0.0000 Mg
0.5000 0.7909 0.5000 Mg
0.0000 0.3065 0.5000 Mg
0.5000 0.6935 0.0000 Mg
0.0000 0.6935 0.5000 Mg
0.5000 0.3065 0.0000 Mg
0.2188 0.5000 0.2188 Rh
0.7812 0.5000 0.7812 Rh
0.7252 0.0000 0.2748 Ir
0.2748 0.0000 0.7252 Ir
```

Results
Final energy, eV/cell: -44.799
DOS at the Fermi energy, states/eV/atom: 0.797
Crystal system: orthorhombic
Size of the total moment, Bohr magnetons per cell: 0.000
Symmetry: Cmmm

# 28
A geometry-optimized Mg2IrRh structure. Source: Alexandria, functional PBE-GGA.

```
Mg2IrRh
1.0
8.6778 0.0046 0.0027
8.1901 2.8682 0.0027
8.1901 1.3949 2.5062
Mg Rh Ir
2 1 1
direct
0.9994 0.9994 0.9994 Mg
0.5006 0.5006 0.5006 Mg
0.2500 0.2500 0.2500 Rh
0.7500 0.7500 0.7500 Ir
```

Results
Final energy, eV/cell: -20.417
DOS at the Fermi energy, states/eV/atom: 0.974
Crystal system: trigonal
Size of the total moment, Bohr magnetons per cell: 0.164
Symmetry: R-3m